Material: Sr2AlFe2O6
Method: DFT, PBE with a Hubbard U
State: relaxed

Lattice parameters (Å, degrees): 5.8042 5.8042 15.5385 90.00 90.00 120.00
Closest atoms and distances in Å follow each position.
Space group R-3m (No. 166, hexagonal axes)
Inequivalent atoms, fractional coordinates:
Sr1 0.0000 0.0000 0.2108 x6  3 O 2.56
Al1 0.0000 0.0000 0.0000 x3  6 O 1.94
Fe1 0.0000 0.0000 0.4193 x6  3 O 1.84
O1 0.0314 0.5157 0.7446 x18  1 Fe 1.84, 1 Al 1.94

**Spin magnetization**: 0.818 μB per atom
**DFT total energy**: -6.50 eV per atom